Entry 1:
A relaxed SrAs2Cl crystal. Source: Alexandria via LeMat-Bulk, functional PBE-GGA.

Summary:
- polymorph energy (0 for the lowest one) (meV per atom) = 0
- D(E_F) (states/eV/f.u.) = 0.8
- ΔE_f (raw) (eV per formula unit) = -4.148
- calculated density (g cm⁻³) = 3.939
- symmetry = Pm (6)

The structure in POSCAR format:
```
SrAs2Cl
1.0
-0.245 -1.318 3.600
2.727 -2.921 -0.883
6.127 3.730 1.783
Sr As Cl
1 2 1
Direct
0.500 0.893 0.730
0.000 0.899 0.081
0.500 0.278 0.100
0.000 0.430 0.589
```

=====

Entry 2:
A relaxed Sr4AsCl5 crystal. Source: Alexandria via LeMat-Bulk, functional PBE-GGA.

Summary:
- D(E_F) (states/eV/f.u.) = 0.0
- ΔE_f (raw) (eV per formula unit) = -21.503
- calculated density (g cm⁻³) = 3.062
- symmetry = C2/m (12)

The structure in POSCAR format:
```
Sr4AsCl5
1.0
4.408 0.000 -1.086
-0.239 7.677 -0.972
0.021 0.562 9.578
Sr As Cl
4 1 5
Direct
0.649 0.859 0.299
0.956 0.738 0.911
0.351 0.141 0.701
0.044 0.262 0.089
0.500 0.000 0.000
0.137 0.623 0.274
0.188 0.111 0.376
0.812 0.889 0.624
0.500 0.500 0.000
0.863 0.377 0.726
```

=====

Entry 3:
A relaxed SrAs2Cl crystal. Source: Alexandria via LeMat-Bulk, functional PBE-GGA.

Summary:
- polymorph energy (0 for the lowest one) (meV per atom) = 124
- D(E_F) (states/eV/f.u.) = 1.8
- ΔE_f (raw) (eV per formula unit) = -3.651
- calculated density (g cm⁻³) = 4.560
- symmetry = P4/mmm (123)

The structure in POSCAR format:
```
SrAs2Cl
1.0
-2.303 -0.901 -3.114
-1.500 -3.090 2.003
-4.544 3.691 2.292
Sr As Cl
1 2 1
Direct
0.000 0.500 0.500
0.000 0.000 0.000
0.500 0.500 0.000
0.500 0.000 0.500
```

=====

Entry 4:
A relaxed SrAs2Cl crystal. Source: Alexandria via LeMat-Bulk, functional PBE-GGA.

Summary:
- polymorph energy (0 for the lowest one) (meV per atom) = 133
- D(E_F) (states/eV/f.u.) = 1.5
- ΔE_f (raw) (eV per formula unit) = -3.616
- calculated density (g cm⁻³) = 4.214
- symmetry = I-42d (122)

The structure in POSCAR format:
```
SrAs2Cl
1.0
-1.777 2.788 2.352
0.226 -2.527 3.166
10.949 5.017 5.823
Sr As Cl
2 4 2
Direct
0.000 0.000 0.000
0.750 0.250 0.500
0.566 0.125 0.250
0.184 0.625 0.250
0.375 0.434 0.750
0.875 0.816 0.750
0.500 0.500 0.000
0.250 0.750 0.500
```

=====

Entry 5:
A relaxed SrAs2Cl crystal. Source: Alexandria via LeMat-Bulk, functional PBE-GGA.

Summary:
- polymorph energy (0 for the lowest one) (meV per atom) = 95
- D(E_F) (states/eV/f.u.) = 1.1
- ΔE_f (raw) (eV per formula unit) = -3.768
- calculated density (g cm⁻³) = 4.161
- symmetry = P4mm (99)

The structure in POSCAR format:
```
SrAs2Cl
1.0
3.641 0.000 0.000
0.000 3.641 0.000
0.000 0.000 8.214
Sr As Cl
1 2 1
Direct
0.500 0.500 0.752
0.000 0.000 0.031
0.500 0.500 0.145
0.000 0.000 0.572
```

=====

Entry 6:
A relaxed SrAs2Cl crystal. Source: Alexandria via LeMat-Bulk, functional PBE-GGA.

Summary:
- polymorph energy (0 for the lowest one) (meV per atom) = 120
- D(E_F) (states/eV/f.u.) = 2.0
- ΔE_f (raw) (eV per formula unit) = -3.669
- calculated density (g cm⁻³) = 4.558
- symmetry = I4/mmm (139)

The structure in POSCAR format:
```
SrAs2Cl
1.0
-5.743 -1.318 3.540
-1.355 -4.540 4.980
4.307 4.828 -2.324
Sr As Cl
1 2 1
Direct
0.250 0.750 0.500
0.000 0.000 0.000
0.500 0.500 0.000
0.750 0.250 0.500
```

=====

Entry 7:
A relaxed SrAs3Cl crystal. Source: Alexandria via LeMat-Bulk, functional PBE-GGA.

Summary:
- polymorph energy (0 for the lowest one) (meV per atom) = 0
- D(E_F) (states/eV/f.u.) = 4.2
- ΔE_f (raw) (eV per formula unit) = 1.089
- calculated density (g cm⁻³) = 4.487
- symmetry = Pm-3m (221)

The structure in POSCAR format:
```
SrAs3Cl
1.0
-2.709 4.179 0.829
-2.010 -0.387 -4.615
-3.757 -2.806 1.872
Sr As Cl
1 3 1
Direct
0.500 0.500 0.500
0.000 0.500 0.000
0.000 0.000 0.500
0.500 0.000 0.000
0.000 0.000 0.000
```

=====

Entry 8:
A relaxed SrAs2Cl crystal. Source: Alexandria via LeMat-Bulk, functional PBE-GGA.

Summary:
- polymorph energy (0 for the lowest one) (meV per atom) = 866
- D(E_F) (states/eV/f.u.) = 1.8
- ΔE_f (raw) (eV per formula unit) = -0.686
- calculated density (g cm⁻³) = 4.569
- symmetry = P4/mmm (123)

The structure in POSCAR format:
```
SrAs2Cl
1.0
5.379 0.000 0.000
0.000 5.379 0.000
0.000 0.000 3.428
Sr As Cl
1 2 1
Direct
0.000 0.500 0.500
0.000 0.000 0.000
0.500 0.500 0.000
0.500 0.000 0.500
```

=====

Q: Which formula does entry 8 have?
A: SrAs2Cl

=====

Q: Number 5 is which compound?
A: SrAs2Cl

=====

Q: Which of these has the lowest ΔE_f (raw)?
A: Sr4AsCl5

=====

Q: What is the D(E_F) in the sixth record?
A: 2.0 states/eV/f.u.